No. 1
This record from the Alexandria database describes a geometry-optimized MoO3 structure. The functional is PBEsol.

Lattice parameters (Å, degrees): 14.697 3.680 3.872 90.00 90.00 90.00
Atoms (fractional coordinates):
1 Mo 0.099 0.250 0.071
2 Mo 0.401 0.750 0.571
3 Mo 0.599 0.250 0.429
4 Mo 0.901 0.750 0.929
5 O 0.063 0.750 0.999
6 O 0.084 0.250 0.519
7 O 0.211 0.250 0.032
8 O 0.289 0.750 0.532
9 O 0.416 0.750 0.019
10 O 0.437 0.250 0.499
11 O 0.563 0.750 0.501
12 O 0.584 0.250 0.981
13 O 0.711 0.250 0.468
14 O 0.789 0.750 0.968
15 O 0.916 0.750 0.481
16 O 0.937 0.250 0.001

Values from the calculation:
- final energy (eV per atom) = -8.80
- total magnetization (μB/f.u.) = 0.0
- symmetry = Pnma (62)

No. 2
This record from the Alexandria database describes a geometry-optimized Mo4O11 structure. The functional is PBEsol.

Lattice parameters (Å, degrees): 24.467 5.472 6.746 90.00 90.00 90.00
Atoms (fractional coordinates):
1 Mo 0.029 0.250 0.158
2 Mo 0.087 0.750 0.481
3 Mo 0.147 0.250 0.804
4 Mo 0.205 0.750 0.131
5 Mo 0.295 0.250 0.631
6 Mo 0.353 0.750 0.304
7 Mo 0.413 0.250 0.981
8 Mo 0.471 0.750 0.658
9 Mo 0.529 0.250 0.342
10 Mo 0.587 0.750 0.019
11 Mo 0.647 0.250 0.696
12 Mo 0.705 0.750 0.369
13 Mo 0.795 0.250 0.869
14 Mo 0.853 0.750 0.196
15 Mo 0.913 0.250 0.519
16 Mo 0.971 0.750 0.842
17 O 0.000 0.000 0.000
18 O 0.000 0.500 0.000
19 O 0.030 0.750 0.658
20 O 0.063 0.504 0.325
21 O 0.063 0.996 0.325
22 O 0.093 0.250 0.983
23 O 0.125 0.002 0.657
24 O 0.125 0.498 0.657
25 O 0.164 0.750 0.344
26 O 0.189 0.008 0.991
27 O 0.189 0.492 0.991
28 O 0.224 0.250 0.678
29 O 0.276 0.750 0.178
30 O 0.311 0.508 0.491
31 O 0.311 0.992 0.491
32 O 0.336 0.250 0.844
33 O 0.375 0.502 0.157
34 O 0.375 0.998 0.157
35 O 0.407 0.750 0.483
36 O 0.437 0.004 0.825
37 O 0.437 0.496 0.825
38 O 0.470 0.250 0.158
39 O 0.500 0.000 0.500
40 O 0.500 0.500 0.500
41 O 0.530 0.750 0.842
42 O 0.563 0.504 0.175
43 O 0.563 0.996 0.175
44 O 0.593 0.250 0.517
45 O 0.625 0.002 0.843
46 O 0.625 0.498 0.843
47 O 0.664 0.750 0.156
48 O 0.689 0.008 0.509
49 O 0.689 0.492 0.509
50 O 0.724 0.250 0.822
51 O 0.776 0.750 0.322
52 O 0.811 0.508 0.009
53 O 0.811 0.992 0.009
54 O 0.836 0.250 0.656
55 O 0.875 0.502 0.343
56 O 0.875 0.998 0.343
57 O 0.907 0.750 0.017
58 O 0.937 0.004 0.675
59 O 0.937 0.496 0.675
60 O 0.970 0.250 0.342

Values from the calculation:
- final energy (eV per atom) = -9.00
- total magnetization (μB/f.u.) = 0.0
- symmetry = Pnma (62)

No. 3
This record from the Alexandria database describes a geometry-optimized MoO2 structure. The functional is PBEsol.

Lattice parameters (Å, degrees): 4.900 4.900 2.690 90.00 90.00 90.00
Atoms (fractional coordinates):
1 Mo 0.000 0.000 0.000
2 Mo 0.500 0.500 0.500
3 O 0.218 0.218 0.500
4 O 0.282 0.718 0.000
5 O 0.718 0.282 0.000
6 O 0.782 0.782 0.500

Values from the calculation:
- final energy (eV per atom) = -9.37
- total magnetization (μB/f.u.) = 0.0
- symmetry = P4_2/mnm (136)

No. 4
This record from the Alexandria database describes a geometry-optimized MoO3 structure. The functional is PBEsol.

Lattice parameters (Å, degrees): 7.264 7.636 10.659 90.00 132.80 90.00
Atoms (fractional coordinates):
1 Mo 0.033 0.035 0.288
2 Mo 0.033 0.465 0.788
3 Mo 0.458 0.537 0.713
4 Mo 0.458 0.963 0.213
5 Mo 0.542 0.037 0.787
6 Mo 0.542 0.463 0.287
7 Mo 0.967 0.535 0.212
8 Mo 0.967 0.965 0.712
9 O 0.014 0.739 0.736
10 O 0.014 0.761 0.236
11 O 0.218 0.027 0.218
12 O 0.218 0.027 0.718
13 O 0.218 0.473 0.218
14 O 0.218 0.473 0.718
15 O 0.280 0.524 0.496
16 O 0.280 0.976 0.996
17 O 0.288 0.012 0.504
18 O 0.288 0.488 0.004
19 O 0.468 0.739 0.247
20 O 0.468 0.761 0.747
21 O 0.532 0.239 0.253
22 O 0.532 0.261 0.753
23 O 0.712 0.512 0.996
24 O 0.712 0.988 0.496
25 O 0.720 0.024 0.004
26 O 0.720 0.476 0.504
27 O 0.782 0.527 0.282
28 O 0.782 0.527 0.782
29 O 0.782 0.973 0.282
30 O 0.782 0.973 0.782
31 O 0.986 0.239 0.764
32 O 0.986 0.261 0.264

Values from the calculation:
- final energy (eV per atom) = -8.84
- total magnetization (μB/f.u.) = 0.0
- symmetry = P2_1/c (14)

No. 5
This record from the Alexandria database describes a geometry-optimized MoP2O7 structure. The functional is PBEsol.

Lattice parameters (Å, degrees): 4.944 8.254 7.021 90.00 105.71 90.00
Atoms (fractional coordinates):
1 Mo 0.215 0.000 0.229
2 Mo 0.785 0.500 0.771
3 P 0.246 0.737 0.613
4 P 0.385 0.311 0.003
5 P 0.615 0.811 0.997
6 P 0.754 0.237 0.387
7 O 0.002 0.178 0.316
8 O 0.141 0.431 0.960
9 O 0.149 0.842 0.431
10 O 0.290 0.136 0.011
11 O 0.427 0.858 0.780
12 O 0.434 0.827 0.142
13 O 0.437 0.596 0.591
14 O 0.563 0.096 0.409
15 O 0.566 0.327 0.858
16 O 0.573 0.358 0.220
17 O 0.710 0.636 0.989
18 O 0.851 0.342 0.569
19 O 0.859 0.931 0.040
20 O 0.998 0.678 0.684

Values from the calculation:
- final energy (eV per atom) = -8.06
- total magnetization (μB/f.u.) = 2.0
- symmetry = P2_1 (4)
- energy above the most stable polymorph in this dataset (meV/atom) = 0

No. 6
This record from the Alexandria database describes a geometry-optimized MoPO3 structure. The functional is PBEsol.

Lattice parameters (Å, degrees): 3.698 3.698 3.698 90.00 90.00 90.00
Atoms (fractional coordinates):
1 Mo 0.000 0.000 0.000
2 P 0.500 0.500 0.500
3 O 0.000 0.500 0.500
4 O 0.500 0.000 0.500
5 O 0.500 0.500 0.000

Values from the calculation:
- final energy (eV per atom) = -6.96
- total magnetization (μB/f.u.) = 4.0
- symmetry = Pm-3m (221)

No. 7
This record from the Alexandria database describes a geometry-optimized Mo2P3O11 structure. The functional is PBEsol.

Lattice parameters (Å, degrees): 7.381 7.381 9.033 109.52 109.52 72.12
Atoms (fractional coordinates):
1 Mo 0.113 0.635 0.961
2 Mo 0.365 0.887 0.539
3 Mo 0.635 0.113 0.461
4 Mo 0.887 0.365 0.039
5 P 0.040 0.960 0.750
6 P 0.329 0.456 0.288
7 P 0.456 0.329 0.788
8 P 0.544 0.671 0.212
9 P 0.671 0.544 0.712
10 P 0.960 0.040 0.250
11 O 0.021 0.137 0.897
12 O 0.054 0.770 0.792
13 O 0.137 0.021 0.397
14 O 0.157 0.466 0.129
15 O 0.230 0.946 0.708
16 O 0.255 0.385 0.818
17 O 0.280 0.626 0.430
18 O 0.374 0.720 0.070
19 O 0.385 0.255 0.318
20 O 0.466 0.157 0.629
21 O 0.486 0.514 0.750
22 O 0.514 0.486 0.250
23 O 0.534 0.843 0.371
24 O 0.615 0.745 0.682
25 O 0.626 0.280 0.930
26 O 0.720 0.374 0.570
27 O 0.745 0.615 0.182
28 O 0.770 0.054 0.292
29 O 0.843 0.534 0.871
30 O 0.863 0.979 0.603
31 O 0.946 0.230 0.208
32 O 0.979 0.863 0.103

Values from the calculation:
- final energy (eV per atom) = -8.13
- total magnetization (μB/f.u.) = 5.0
- symmetry = C2/c (15)

No. 8
This record from the Alexandria database describes a geometry-optimized MoP2O7 structure. The functional is PBEsol.

Lattice parameters (Å, degrees): 6.396 6.396 13.309 106.00 106.00 80.69
Atoms (fractional coordinates):
1 Mo 0.230 0.269 0.147
2 Mo 0.269 0.230 0.647
3 Mo 0.731 0.770 0.353
4 Mo 0.770 0.731 0.853
5 P 0.157 0.738 0.073
6 P 0.262 0.843 0.427
7 P 0.287 0.612 0.868
8 P 0.388 0.713 0.632
9 P 0.612 0.287 0.368
10 P 0.713 0.388 0.132
11 P 0.738 0.157 0.573
12 P 0.843 0.262 0.927
13 O 0.053 0.734 0.366
14 O 0.063 0.724 0.824
15 O 0.077 0.212 0.990
16 O 0.175 0.588 0.147
17 O 0.212 0.077 0.490
18 O 0.257 0.527 0.623
19 O 0.266 0.947 0.134
20 O 0.276 0.937 0.676
21 O 0.294 0.600 0.987
22 O 0.322 0.374 0.805
23 O 0.374 0.322 0.305
24 O 0.400 0.706 0.513
25 O 0.412 0.825 0.353
26 O 0.473 0.743 0.877
27 O 0.527 0.257 0.123
28 O 0.588 0.175 0.647
29 O 0.600 0.294 0.487
30 O 0.626 0.678 0.695
31 O 0.678 0.626 0.195
32 O 0.706 0.400 0.013
33 O 0.724 0.063 0.324
34 O 0.734 0.053 0.866
35 O 0.743 0.473 0.377
36 O 0.788 0.923 0.510
37 O 0.825 0.412 0.853
38 O 0.923 0.788 0.010
39 O 0.937 0.276 0.176
40 O 0.947 0.266 0.634

Values from the calculation:
- final energy (eV per atom) = -8.04
- total magnetization (μB/f.u.) = 2.0
- symmetry = C2/c (15)
- energy above the most stable polymorph in this dataset (meV/atom) = 15

No. 9
This record from the Alexandria database describes a geometry-optimized MoP2O7 structure. The functional is PBEsol.

Lattice parameters (Å, degrees): 7.209 8.327 9.525 90.00 109.13 90.00
Atoms (fractional coordinates):
1 Mo 0.223 0.006 0.254
2 Mo 0.223 0.494 0.754
3 Mo 0.777 0.506 0.246
4 Mo 0.777 0.994 0.746
5 P 0.177 0.699 0.448
6 P 0.177 0.801 0.948
7 P 0.424 0.237 0.557
8 P 0.424 0.263 0.057
9 P 0.576 0.737 0.943
10 P 0.576 0.763 0.443
11 P 0.823 0.199 0.052
12 P 0.823 0.301 0.552
13 O 0.049 0.583 0.332
14 O 0.049 0.917 0.832
15 O 0.139 0.626 0.901
16 O 0.139 0.874 0.401
17 O 0.162 0.672 0.603
18 O 0.162 0.828 0.103
19 O 0.303 0.148 0.113
20 O 0.303 0.352 0.613
21 O 0.306 0.181 0.401
22 O 0.306 0.319 0.901
23 O 0.397 0.656 0.457
24 O 0.397 0.844 0.957
25 O 0.490 0.596 0.840
26 O 0.490 0.904 0.340
27 O 0.510 0.096 0.660
28 O 0.510 0.404 0.160
29 O 0.603 0.156 0.043
30 O 0.603 0.344 0.543
31 O 0.694 0.681 0.099
32 O 0.694 0.819 0.599
33 O 0.697 0.648 0.387
34 O 0.697 0.852 0.887
35 O 0.838 0.172 0.897
36 O 0.838 0.328 0.397
37 O 0.861 0.126 0.599
38 O 0.861 0.374 0.099
39 O 0.951 0.083 0.168
40 O 0.951 0.417 0.668

Values from the calculation:
- final energy (eV per atom) = -8.06
- total magnetization (μB/f.u.) = 2.0
- symmetry = P2_1/c (14)
- energy above the most stable polymorph in this dataset (meV/atom) = 1

No. 10
This record from the Alexandria database describes a geometry-optimized Mo2P4O15 structure. The functional is PBEsol.

Lattice parameters (Å, degrees): 8.343 6.703 10.973 90.00 105.65 90.00
Atoms (fractional coordinates):
1 Mo 0.201 0.243 0.157
2 Mo 0.201 0.257 0.657
3 Mo 0.799 0.743 0.343
4 Mo 0.799 0.757 0.843
5 P 0.180 0.552 0.399
6 P 0.180 0.948 0.899
7 P 0.417 0.625 0.878
8 P 0.417 0.875 0.378
9 P 0.583 0.125 0.622
10 P 0.583 0.375 0.122
11 P 0.820 0.052 0.101
12 P 0.820 0.448 0.601
13 O 0.024 0.664 0.327
14 O 0.024 0.836 0.827
15 O 0.155 0.064 0.560
16 O 0.155 0.436 0.060
17 O 0.172 0.031 0.025
18 O 0.172 0.469 0.525
19 O 0.238 0.101 0.818
20 O 0.238 0.399 0.318
21 O 0.295 0.501 0.784
22 O 0.295 0.999 0.284
23 O 0.326 0.713 0.440
24 O 0.326 0.787 0.940
25 O 0.451 0.229 0.669
26 O 0.451 0.271 0.169
27 O 0.500 0.000 0.500
28 O 0.500 0.500 0.000
29 O 0.549 0.729 0.831
30 O 0.549 0.771 0.331
31 O 0.674 0.213 0.060
32 O 0.674 0.287 0.560
33 O 0.705 0.001 0.716
34 O 0.705 0.499 0.216
35 O 0.762 0.601 0.682
36 O 0.762 0.899 0.182
37 O 0.828 0.531 0.475
38 O 0.828 0.969 0.975
39 O 0.845 0.564 0.940
40 O 0.845 0.936 0.440
41 O 0.976 0.164 0.173
42 O 0.976 0.336 0.673

Values from the calculation:
- final energy (eV per atom) = -8.03
- total magnetization (μB/f.u.) = 2.0
- symmetry = P2_1/c (14)

No. 11
This record from the Alexandria database describes a geometry-optimized Mo2P3O14 structure. The functional is PBEsol.

Lattice parameters (Å, degrees): 6.411 6.415 9.188 110.17 107.92 90.02
Atoms (fractional coordinates):
1 Mo 0.000 0.000 0.000
2 Mo 0.423 0.415 0.827
3 P 0.223 0.072 0.413
4 P 0.462 0.958 0.914
5 P 0.961 0.457 0.913
6 O 0.009 0.316 0.023
7 O 0.011 0.705 0.026
8 O 0.104 0.401 0.800
9 O 0.119 0.121 0.261
10 O 0.123 0.853 0.426
11 O 0.305 0.276 0.566
12 O 0.320 0.013 0.028
13 O 0.360 0.862 0.401
14 O 0.412 0.094 0.801
15 O 0.413 0.708 0.803
16 O 0.512 0.508 0.031
17 O 0.705 0.012 0.026
18 O 0.718 0.402 0.800
19 O 0.914 0.891 0.796

Values from the calculation:
- final energy (eV per atom) = -7.86
- total magnetization (μB/f.u.) = 1.0
- symmetry = P1 (1)

No. 12
This record from the Alexandria database describes a geometry-optimized MoP2O7 structure. The functional is PBEsol.

Lattice parameters (Å, degrees): 5.172 5.172 4.628 97.70 97.70 100.21
Atoms (fractional coordinates):
1 Mo 0.000 0.000 0.000
2 P 0.450 0.151 0.586
3 P 0.849 0.550 0.414
4 O 0.029 0.690 0.703
5 O 0.261 0.214 0.801
6 O 0.310 0.971 0.297
7 O 0.565 0.435 0.500
8 O 0.680 0.040 0.725
9 O 0.786 0.739 0.199
10 O 0.960 0.320 0.275

Values from the calculation:
- final energy (eV per atom) = -8.04
- total magnetization (μB/f.u.) = 2.0
- symmetry = C2 (5)
- energy above the most stable polymorph in this dataset (meV/atom) = 20

- What is the total magnetization in the sixth record?
  4.0 μB/f.u.